(1)
A geometry-optimized TbMg14Cd structure. Source: Alexandria via LeMat-Bulk, functional GGA-PBE.

Values from the calculation:
The mass density is 2.7 g/cm3. The formation energy comes out at 0.0 eV/f.u. As for the density of states at the Fermi level: 6.78 states/eV per cell. For the size of the total moment, the calculation gives 0.000 Bohr magnetons per cell. The total energy comes out at -1.745 eV per atom. The crystal system is tetragonal.

Cell: 6.721 6.721 8.354 Å, 90.00 90.00 90.00°
Space group P4/mmm (No. 123)
Asymmetric unit:
Tb  0.000  0.000  0.000
Mg  0.000  0.000  0.500
Mg  0.000  0.500  0.000
Mg  0.000  0.500  0.500
Mg  0.255  0.255  0.254
Mg  0.500  0.500  0.500
Cd  0.500  0.500  0.000

(2)
A geometry-optimized GaPS2I structure. Source: Alexandria via LeMat-Bulk, functional GGA-PBE.

Values from the calculation:
The mass density is 3.4 g/cm3. The value obtained for the uncorrected formation energy is 95 kJ/mol of atoms. As for the density of states at the Fermi level: 4.15 states/eV per cell. For the size of the total moment, the calculation gives 1.308 Bohr magnetons per cell. The total energy comes out at -2.667 eV per atom. The crystal system is tetragonal. The excess energy over the best structure of this formula in the dataset comes out at 364 meV per atom.

Cell: 5.171 5.171 5.279 Å, 90.00 90.00 90.00°
Space group P4/mmm (No. 123)
Asymmetric unit:
Ga  0.000  0.000  0.000
P  0.500  0.500  0.000
S  0.000  0.500  0.500
I  0.500  0.500  0.500